DFT (PBE with a Hubbard U) results for a relaxed structure of TmMnTlF6.

Its crystal system is trigonal. The total energy comes out at -0.4388 Ry/atom. For the calculated volume, the calculation gives 19.27 Å³/atom. The calculation puts the density of states at the Fermi level at 0.00 states/eV/cell.

It has space group P-31c (No. 163), with a = 5.8739 Å, b = 5.8739 Å, c = 11.6081 Å, α = 90.00°, β = 90.00° and γ = 120.00°. Symmetry generates all atoms from Tm at (0.3333, 0.6667, 0.2500), Mn at (0.3333, 0.6667, 0.7500), Tl at (0.0000, 0.0000, 0.0000) and F at (0.0004, 0.3830, 0.1513).